DFT (GGA-PBE) results for an optimized crystal structure of TlSn3Hg3.

The structure in POSCAR format:
```
TlSn3Hg3
1.0
9.283 0.000 0.000
-4.641 8.039 0.000
0.000 0.000 5.243
Tl Sn Hg
2 6 6
Direct
0.333 0.667 0.250 Tl
0.667 0.333 0.750 Tl
0.018 0.797 0.750 Sn
0.203 0.221 0.750 Sn
0.221 0.018 0.250 Sn
0.779 0.982 0.750 Sn
0.797 0.779 0.250 Sn
0.982 0.203 0.250 Sn
0.090 0.485 0.750 Hg
0.395 0.910 0.750 Hg
0.485 0.395 0.250 Hg
0.515 0.605 0.750 Hg
0.605 0.090 0.250 Hg
0.910 0.515 0.250 Hg
```

Values from the calculation:
The calculation puts the formation energy at 53 meV/atom. The value obtained for the polymorph energy (0 for the lowest one) is 0 meV per atom.

DFT (GGA-PBE) results for an optimized crystal structure of CdTeRhPb2.

The structure in POSCAR format:
```
CdTeRhPb2
1.0
5.286 0.000 0.000
0.000 5.286 0.000
0.000 0.000 5.214
Cd Te Rh Pb
1 1 1 2
Direct
0.000 0.000 0.000 Cd
0.500 0.500 0.000 Te
0.000 0.000 0.500 Rh
0.000 0.500 0.500 Pb
0.500 0.000 0.500 Pb
```

Values from the calculation:
The calculation puts the uncorrected formation energy at -0.05 eV/atom.

DFT (GGA-PBE) results for an optimized crystal structure of SrBeAl2Bi.

The structure in POSCAR format:
```
SrBeAl2Bi
1.0
5.586 0.000 0.000
0.000 5.586 0.000
0.000 0.000 5.006
Sr Be Al Bi
1 1 2 1
Direct
0.000 0.000 0.000 Sr
0.500 0.500 0.000 Be
0.000 0.500 0.500 Al
0.500 0.000 0.500 Al
0.500 0.500 0.500 Bi
```

Values from the calculation:
The calculation puts the formation energy at 725 meV/atom.

DFT (GGA-PBE) results for an optimized crystal structure of TmUPt4.

The structure in POSCAR format:
```
TmUPt4
1.0
0.000 3.833 3.833
3.833 0.000 3.833
3.833 3.833 0.000
Tm U Pt
1 1 4
Direct
0.000 0.000 0.000 Tm
0.250 0.250 0.250 U
0.124 0.625 0.625 Pt
0.625 0.124 0.625 Pt
0.625 0.625 0.124 Pt
0.625 0.625 0.625 Pt
```

Values from the calculation:
The calculation puts the formation energy at -861 meV/atom.

DFT (GGA-PBE) results for an optimized crystal structure of CdSnPb14.

The structure in POSCAR format:
```
CdSnPb14
1.0
4.885 -5.095 0.000
4.885 5.095 0.000
0.000 0.000 9.926
Cd Sn Pb
1 1 14
Direct
0.000 0.000 0.000 Cd
0.500 0.500 0.000 Sn
0.000 0.000 0.500 Pb
0.000 0.500 0.000 Pb
0.000 0.500 0.500 Pb
0.249 0.249 0.244 Pb
0.249 0.249 0.756 Pb
0.249 0.751 0.247 Pb
0.249 0.751 0.753 Pb
0.500 0.000 0.000 Pb
0.500 0.000 0.500 Pb
0.500 0.500 0.500 Pb
0.751 0.249 0.247 Pb
0.751 0.249 0.753 Pb
0.751 0.751 0.244 Pb
0.751 0.751 0.756 Pb
```

Values from the calculation:
The calculation puts the formation energy at 11 meV/atom.

DFT (GGA-PBE) results for an optimized crystal structure of MnAl5.

The structure in POSCAR format:
```
MnAl5
1.0
2.948 0.000 0.000
0.000 12.854 0.000
-1.461 0.000 4.940
Mn Al
2 10
Direct
0.153 0.250 0.305 Mn
0.847 0.750 0.695 Mn
0.120 0.750 0.241 Al
0.286 0.081 0.572 Al
0.286 0.419 0.572 Al
0.445 0.608 0.893 Al
0.445 0.892 0.893 Al
0.555 0.108 0.107 Al
0.555 0.392 0.107 Al
0.714 0.581 0.428 Al
0.714 0.919 0.428 Al
0.880 0.250 0.759 Al
```

Values from the calculation:
The calculation puts the formation energy at -74 meV/atom.

DFT (GGA-PBE) results for an optimized crystal structure of TbHo3B.

The structure in POSCAR format:
```
TbHo3B
1.0
5.138 0.000 0.000
0.000 5.138 0.000
0.000 0.000 5.138
Tb Ho B
1 3 1
Direct
0.000 0.000 0.000 Tb
0.000 0.500 0.500 Ho
0.500 0.000 0.500 Ho
0.500 0.500 0.000 Ho
0.500 0.500 0.500 B
```

Values from the calculation:
The calculation puts the formation energy at 61 meV/atom.

DFT (GGA-PBE) results for an optimized crystal structure of BeGeRu2.

The structure in POSCAR format:
```
BeGeRu2
1.0
-1.929 1.929 8.028
1.929 -1.929 8.028
1.929 1.929 -8.028
Be Ge Ru
2 2 4
Direct
0.000 0.000 0.000 Be
0.750 0.250 0.500 Be
0.250 0.750 0.500 Ge
0.500 0.500 0.000 Ge
0.064 0.625 0.939 Ru
0.375 0.314 0.439 Ru
0.686 0.125 0.061 Ru
0.875 0.936 0.561 Ru
```

Values from the calculation:
The calculation puts the formation energy at 341 meV/atom. The value obtained for the polymorph energy (0 for the lowest one) is 624 meV per atom.

DFT (GGA-PBE) results for an optimized crystal structure of RbInSi.

The structure in POSCAR format:
```
RbInSi
1.0
6.636 -1.924 0.000
6.636 1.924 0.000
-2.118 0.000 8.647
Rb In Si
2 2 2
Direct
0.000 0.000 0.000 Rb
0.176 0.176 0.636 Rb
0.456 0.456 0.337 In
0.736 0.736 0.254 In
0.460 0.460 0.660 Si
0.872 0.872 0.539 Si
```

Values from the calculation:
The calculation puts the uncorrected formation energy at 0.04 eV/atom.

DFT (GGA-PBE) results for an optimized crystal structure of MnRhSe.

The structure in POSCAR format:
```
MnRhSe
1.0
0.000 2.975 2.975
2.975 0.000 2.975
2.975 2.975 0.000
Mn Rh Se
1 1 1
Direct
0.000 0.000 0.000 Mn
0.250 0.250 0.250 Rh
0.500 0.500 0.500 Se
```

Values from the calculation:
The value obtained for the polymorph energy (0 for the lowest one) is 66 meV per atom. The calculation puts the uncorrected formation energy at -0.14 eV/atom.

DFT (GGA-PBE) results for an optimized crystal structure of In3Pb.

The structure in POSCAR format:
```
In3Pb
1.0
5.891 -1.728 0.000
5.891 1.728 0.000
-1.695 0.000 5.574
In Pb
3 1
Direct
0.000 0.000 0.000 In
0.257 0.257 0.756 In
0.743 0.743 0.244 In
0.500 0.500 0.500 Pb
```

Values from the calculation:
The calculation puts the formation energy at 13 meV/atom.

DFT (GGA-PBE) results for an optimized crystal structure of ZrPa2Hg2.

The structure in POSCAR format:
```
ZrPa2Hg2
1.0
-1.549 1.549 12.097
1.549 -1.549 12.097
1.549 1.549 -12.097
Zr Pa Hg
1 2 2
Direct
0.000 0.000 0.000 Zr
0.197 0.197 0.000 Pa
0.803 0.803 0.000 Pa
0.409 0.409 0.000 Hg
0.591 0.591 0.000 Hg
```

Values from the calculation:
The calculation puts the formation energy at -20 meV/atom.

DFT (GGA-PBE) results for an optimized crystal structure of Cs2LiAsBr6.

The structure in POSCAR format:
```
Cs2LiAsBr6
1.0
8.113 0.000 0.000
0.000 10.394 0.000
0.000 0.000 8.314
Cs Li As Br
4 2 2 12
Direct
0.250 0.003 0.239 Cs
0.250 0.497 0.239 Cs
0.750 0.503 0.761 Cs
0.750 0.997 0.761 Cs
0.250 0.750 0.849 Li
0.750 0.250 0.151 Li
0.250 0.250 0.731 As
0.750 0.750 0.269 As
0.010 0.250 0.989 Br
0.023 0.250 0.524 Br
0.250 0.509 0.733 Br
0.250 0.991 0.733 Br
0.477 0.250 0.524 Br
0.490 0.250 0.989 Br
0.510 0.750 0.011 Br
0.523 0.750 0.476 Br
0.750 0.009 0.267 Br
0.750 0.491 0.267 Br
0.977 0.750 0.476 Br
0.990 0.750 0.011 Br
```

Values from the calculation:
The value obtained for the polymorph energy (0 for the lowest one) is 0 meV per atom. The calculation puts the uncorrected formation energy at -1.21 eV/atom.

DFT (GGA-PBE) results for an optimized crystal structure of HfFe3Pd.

The structure in POSCAR format:
```
HfFe3Pd
1.0
4.507 0.000 0.000
0.000 4.507 0.000
0.000 0.000 4.507
Hf Fe Pd
1 3 1
Direct
0.000 0.000 0.000 Hf
0.000 0.000 0.500 Fe
0.000 0.500 0.000 Fe
0.500 0.000 0.000 Fe
0.500 0.500 0.500 Pd
```

Values from the calculation:
The calculation puts the formation energy at 1469 meV/atom. The value obtained for the polymorph energy (0 for the lowest one) is 421 meV per atom.

DFT (GGA-PBE) results for an optimized crystal structure of CaIrN2.

The structure in POSCAR format:
```
CaIrN2
1.0
0.000 2.814 2.814
2.814 0.000 2.814
2.814 2.814 0.000
Ca Ir N
1 1 2
Direct
0.000 0.000 0.000 Ca
0.500 0.500 0.500 Ir
0.250 0.250 0.250 N
0.750 0.750 0.750 N
```

Values from the calculation:
The value obtained for the polymorph energy (0 for the lowest one) is 759 meV per atom. The calculation puts the uncorrected formation energy at 0.55 eV/atom.

DFT (GGA-PBE) results for an optimized crystal structure of TlCoSN2.

The structure in POSCAR format:
```
TlCoSN2
1.0
4.197 0.000 0.000
0.000 4.197 0.000
0.000 0.000 5.637
Tl Co S N
1 1 1 2
Direct
0.000 0.000 0.000 Tl
0.500 0.500 0.500 Co
0.000 0.000 0.500 S
0.000 0.500 0.000 N
0.500 0.000 0.000 N
```

Values from the calculation:
The value obtained for the polymorph energy (0 for the lowest one) is 1206 meV per atom. The calculation puts the uncorrected formation energy at 2.19 eV/atom.

DFT (GGA-PBE) results for an optimized crystal structure of LaPm2NdHo2.

The structure in POSCAR format:
```
LaPm2NdHo2
1.0
6.607 0.000 0.000
0.000 18.353 0.000
0.000 0.000 3.431
La Pm Nd Ho
2 4 2 4
Direct
0.000 0.000 0.000 La
0.500 0.500 0.500 La
0.217 0.189 0.000 Pm
0.283 0.689 0.500 Pm
0.717 0.311 0.500 Pm
0.783 0.811 0.000 Pm
0.000 0.500 0.000 Nd
0.500 0.000 0.500 Nd
0.215 0.352 0.500 Ho
0.285 0.852 0.000 Ho
0.715 0.148 0.000 Ho
0.785 0.648 0.500 Ho
```

Values from the calculation:
The calculation puts the formation energy at 259 meV/atom.

DFT (GGA-PBE) results for an optimized crystal structure of LiBTeI2.

The structure in POSCAR format:
```
LiBTeI2
1.0
5.450 0.000 0.000
0.000 5.450 0.000
0.000 0.000 5.153
Li B Te I
1 1 1 2
Direct
0.000 0.000 0.000 Li
0.500 0.500 0.500 B
0.000 0.000 0.500 Te
0.000 0.500 0.000 I
0.500 0.000 0.000 I
```

Values from the calculation:
The value obtained for the polymorph energy (0 for the lowest one) is 514 meV per atom. The calculation puts the uncorrected formation energy at 0.90 eV/atom.

DFT (GGA-PBE) results for an optimized crystal structure of LiHfZrCo.

The structure in POSCAR format:
```
LiHfZrCo
1.0
0.000 3.214 3.214
3.214 0.000 3.214
3.214 3.214 0.000
Li Hf Zr Co
1 1 1 1
Direct
0.000 0.000 0.000 Li
0.250 0.250 0.250 Hf
0.750 0.750 0.750 Zr
0.500 0.500 0.500 Co
```

Values from the calculation:
The calculation puts the formation energy at -53 meV/atom.

DFT (GGA-PBE) results for an optimized crystal structure of Pr12SmCo6.

The structure in POSCAR format:
```
Pr12SmCo6
1.0
-5.090 5.090 5.090
5.090 -5.090 5.090
5.090 5.090 -5.090
Pr Sm Co
12 1 6
Direct
0.116 0.805 0.311 Pr
0.195 0.311 0.505 Pr
0.195 0.689 0.884 Pr
0.311 0.116 0.805 Pr
0.311 0.505 0.195 Pr
0.495 0.805 0.689 Pr
0.505 0.195 0.311 Pr
0.689 0.495 0.805 Pr
0.689 0.884 0.195 Pr
0.805 0.311 0.116 Pr
0.805 0.689 0.495 Pr
0.884 0.195 0.689 Pr
0.000 0.000 0.000 Sm
0.110 0.610 0.500 Co
0.390 0.500 0.890 Co
0.500 0.110 0.610 Co
0.500 0.890 0.390 Co
0.610 0.500 0.110 Co
0.890 0.390 0.500 Co
```

Values from the calculation:
The calculation puts the formation energy at -25 meV/atom.

| no. | E_tot (hartree per atom) | total magnetization (μB per formula unit) |
| --- | --- | --- |
| 1 | -0.0783 | 0.000 |
| 2 | -0.1403 | 0.000 |
| 3 | -0.0967 | 0.000 |
| 4 | -0.2762 | 2.403 |
| 5 | -0.1301 | 0.000 |
| 6 | -0.1735 | 1.161 |
| 7 | -0.1818 | 0.000 |
| 8 | -0.2346 | 0.000 |
| 9 | -0.1105 | 0.000 |
| 10 | -0.2503 | 3.971 |
| 11 | -0.1091 | 0.000 |
| 12 | -0.2076 | 0.000 |
| 13 | -0.1119 | 0.000 |
| 14 | -0.2439 | 6.121 |
| 15 | -0.2324 | 0.000 |
| 16 | -0.1419 | 5.503 |
| 17 | -0.1641 | 0.000 |
| 18 | -0.0760 | 0.000 |
| 19 | -0.2548 | 0.288 |
| 20 | -0.2035 | 0.009 |